# MoPb2Se GGA-PBE relaxed
data_MoPb2Se
_chemical_formula_sum 'Mo1 Pb2 Se1'
_cell_length_a 3.480
_cell_length_b 5.236
_cell_length_c 5.302
_cell_angle_alpha 90.00
_cell_angle_beta 90.00
_cell_angle_gamma 90.00
_symmetry_space_group_name_H-M 'P 1'
_symmetry_Int_Tables_number 1
loop_
_symmetry_equiv_pos_as_xyz
'x,y,z'
loop_
_atom_site_label
_atom_site_type_symbol
_atom_site_fract_x
_atom_site_fract_y
_atom_site_fract_z
Mo1 Mo 0.000 0.000 0.000
Pb1 Pb 0.000 0.500 0.500
Pb2 Pb 0.500 0.500 0.000
Se1 Se 0.500 0.000 0.500
# Total magnetic moment = 0.68 μB per atom
# Fermi-level density of states = 2.91 states/eV per cell
# E = -4.79 eV per atom
# E_form (uncorrected) = 641 meV/atom